A plane-wave DFT calculation with PBE-GGA was carried out for AlBC after structural relaxation.

Structure (CIF):
```
data_AlBC
_space_group_name_H-M_alt 'P 1'
_space_group_IT_number 1
_cell_length_a 2.7800
_cell_length_b 4.1367
_cell_length_c 5.4784
_cell_angle_alpha 101.43
_cell_angle_beta 104.61
_cell_angle_gamma 109.63
loop_
_space_group_symop_operation_xyz
'x,y,z'
loop_
_atom_site_label
_atom_site_type_symbol
_atom_site_fract_x
_atom_site_fract_y
_atom_site_fract_z
_atom_site_occupancy
Al1 Al 0.0193 0.3190 0.2199 1
Al2 Al 0.9807 0.6810 0.7801 1
B1 B 0.1670 0.1694 0.6648 1
B2 B 0.8330 0.8306 0.3352 1
C1 C 0.2769 0.8594 0.1935 1
C2 C 0.7231 0.1406 0.8065 1
```

ΔE_f: 0.24 eV/atom
total magnetic moment: 0.000 μB/cell
final energy: -6.31 eV per atom

---

A plane-wave DFT calculation with PBE-GGA was carried out for BaY2Sc after structural relaxation.

Structure (CIF):
```
data_BaY2Sc
_space_group_name_H-M_alt 'P 1'
_space_group_IT_number 1
_cell_length_a 4.0554
_cell_length_b 5.8145
_cell_length_c 5.8397
_cell_angle_alpha 90.00
_cell_angle_beta 90.00
_cell_angle_gamma 90.00
loop_
_space_group_symop_operation_xyz
'x,y,z'
loop_
_atom_site_label
_atom_site_type_symbol
_atom_site_fract_x
_atom_site_fract_y
_atom_site_fract_z
_atom_site_occupancy
Ba1 Ba 0.0000 0.0000 0.0000 1
Y1 Y 0.0000 0.5000 0.5000 1
Y2 Y 0.5000 0.5000 0.0000 1
Sc1 Sc 0.5000 0.0000 0.5000 1
```

ΔE_f: 0.33 eV/atom
total magnetic moment: 0.007 μB/cell
final energy: -4.97 eV per atom

---

A plane-wave DFT calculation with PBE-GGA was carried out for LiSb3P after structural relaxation.

Structure (CIF):
```
data_LiSb3P
_space_group_name_H-M_alt 'P 1'
_space_group_IT_number 1
_cell_length_a 4.9337
_cell_length_b 4.9337
_cell_length_c 4.9337
_cell_angle_alpha 90.00
_cell_angle_beta 90.00
_cell_angle_gamma 90.00
loop_
_space_group_symop_operation_xyz
'x,y,z'
loop_
_atom_site_label
_atom_site_type_symbol
_atom_site_fract_x
_atom_site_fract_y
_atom_site_fract_z
_atom_site_occupancy
Li1 Li 0.0000 0.0000 0.0000 1
Sb1 Sb 0.0000 0.0000 0.5000 1
Sb2 Sb 0.0000 0.5000 0.0000 1
Sb3 Sb 0.5000 0.0000 0.0000 1
P1 P 0.5000 0.5000 0.5000 1
```

total magnetic moment: 0.000 μB/cell
E_form (uncorrected): 3.220 eV per formula unit
final energy: -3.29 eV per atom

---

A plane-wave DFT calculation with PBE-GGA was carried out for PuSiTc2 after structural relaxation.

Structure (CIF):
```
data_PuSiTc2
_space_group_name_H-M_alt 'P 1'
_space_group_IT_number 1
_cell_length_a 4.4858
_cell_length_b 4.4858
_cell_length_c 4.4858
_cell_angle_alpha 60.00
_cell_angle_beta 60.00
_cell_angle_gamma 60.00
loop_
_space_group_symop_operation_xyz
'x,y,z'
loop_
_atom_site_label
_atom_site_type_symbol
_atom_site_fract_x
_atom_site_fract_y
_atom_site_fract_z
_atom_site_occupancy
Pu1 Pu 0.0000 0.0000 0.0000 1
Si1 Si 0.5000 0.5000 0.5000 1
Tc1 Tc 0.2500 0.2500 0.2500 1
Tc2 Tc 0.7500 0.7500 0.7500 1
```

total magnetic moment: 3.546 μB/cell
E_form (uncorrected): -0.857 eV per formula unit
final energy: -10.34 eV per atom

---

A plane-wave DFT calculation with PBE-GGA was carried out for Bi3O4F after structural relaxation.

Structure (CIF):
```
data_Bi3O4F
_space_group_name_H-M_alt 'P 1'
_space_group_IT_number 1
_cell_length_a 8.8876
_cell_length_b 8.8876
_cell_length_c 10.0207
_cell_angle_alpha 113.00
_cell_angle_beta 113.00
_cell_angle_gamma 22.97
loop_
_space_group_symop_operation_xyz
'x,y,z'
loop_
_atom_site_label
_atom_site_type_symbol
_atom_site_fract_x
_atom_site_fract_y
_atom_site_fract_z
_atom_site_occupancy
Bi1 Bi 0.0868 0.0868 0.4472 1
Bi2 Bi 0.1469 0.1469 0.9172 1
Bi3 Bi 0.3017 0.3017 0.7397 1
Bi4 Bi 0.6983 0.6983 0.2603 1
Bi5 Bi 0.8531 0.8531 0.0828 1
Bi6 Bi 0.9132 0.9132 0.5528 1
O1 O 0.1165 0.1165 0.2594 1
O2 O 0.2570 0.2570 0.1236 1
O3 O 0.3280 0.3280 0.4913 1
O4 O 0.3829 0.3829 0.9729 1
O5 O 0.6171 0.6171 0.0271 1
O6 O 0.6720 0.6720 0.5087 1
O7 O 0.7430 0.7430 0.8764 1
O8 O 0.8835 0.8835 0.7406 1
F1 F 0.4787 0.4787 0.3234 1
F2 F 0.5213 0.5213 0.6766 1
```

total magnetic moment: 0.000 μB/cell
E_form (uncorrected): -10.920 eV per formula unit
final energy: -5.53 eV per atom

---

A plane-wave DFT calculation with PBE-GGA was carried out for AcLaSeS after structural relaxation.

Structure (CIF):
```
data_AcLaSeS
_space_group_name_H-M_alt 'P 1'
_space_group_IT_number 1
_cell_length_a 7.4983
_cell_length_b 7.4983
_cell_length_c 7.4983
_cell_angle_alpha 33.35
_cell_angle_beta 33.35
_cell_angle_gamma 33.35
loop_
_space_group_symop_operation_xyz
'x,y,z'
loop_
_atom_site_label
_atom_site_type_symbol
_atom_site_fract_x
_atom_site_fract_y
_atom_site_fract_z
_atom_site_occupancy
Ac1 Ac 0.0000 0.0000 0.0000 1
La1 La 0.5115 0.5115 0.5115 1
Se1 Se 0.7589 0.7589 0.7589 1
S1 S 0.2523 0.2523 0.2523 1
```

total magnetic moment: 0.000 μB/cell
E_form (uncorrected): -8.047 eV per formula unit
final energy: -6.17 eV per atom

---

A plane-wave DFT calculation with PBE-GGA was carried out for Sr2TaAg after structural relaxation.

Structure (CIF):
```
data_Sr2TaAg
_space_group_name_H-M_alt 'P 1'
_space_group_IT_number 1
_cell_length_a 5.4425
_cell_length_b 5.4425
_cell_length_c 5.4425
_cell_angle_alpha 60.00
_cell_angle_beta 60.00
_cell_angle_gamma 60.00
loop_
_space_group_symop_operation_xyz
'x,y,z'
loop_
_atom_site_label
_atom_site_type_symbol
_atom_site_fract_x
_atom_site_fract_y
_atom_site_fract_z
_atom_site_occupancy
Sr1 Sr 0.0000 0.0000 0.0000 1
Sr2 Sr 0.2500 0.2500 0.2500 1
Ta1 Ta 0.7500 0.7500 0.7500 1
Ag1 Ag 0.5000 0.5000 0.5000 1
```

ΔE_f: 0.91 eV/atom
total magnetic moment: 3.510 μB/cell
final energy: -3.61 eV per atom

---

A plane-wave DFT calculation with PBE-GGA was carried out for NaIrCl4 after structural relaxation.

Structure (CIF):
```
data_NaIrCl4
_space_group_name_H-M_alt 'P 1'
_space_group_IT_number 1
_cell_length_a 6.2710
_cell_length_b 6.2710
_cell_length_c 7.0624
_cell_angle_alpha 100.31
_cell_angle_beta 100.31
_cell_angle_gamma 33.81
loop_
_space_group_symop_operation_xyz
'x,y,z'
loop_
_atom_site_label
_atom_site_type_symbol
_atom_site_fract_x
_atom_site_fract_y
_atom_site_fract_z
_atom_site_occupancy
Na1 Na 0.0000 0.0000 0.0000 1
Ir1 Ir 0.5000 0.5000 0.5000 1
Cl1 Cl 0.1095 0.1095 0.4162 1
Cl2 Cl 0.3877 0.3877 0.1848 1
Cl3 Cl 0.6123 0.6123 0.8152 1
Cl4 Cl 0.8905 0.8905 0.5838 1
```

total magnetic moment: 0.000 μB/cell
E_form (uncorrected): -5.315 eV per formula unit
final energy: -3.81 eV per atom

---

A plane-wave DFT calculation with PBE-GGA was carried out for YTe after structural relaxation.

Structure (CIF):
```
data_YTe
_space_group_name_H-M_alt 'P 1'
_space_group_IT_number 1
_cell_length_a 10.1623
_cell_length_b 10.1623
_cell_length_c 10.1623
_cell_angle_alpha 24.82
_cell_angle_beta 24.82
_cell_angle_gamma 24.82
loop_
_space_group_symop_operation_xyz
'x,y,z'
loop_
_atom_site_label
_atom_site_type_symbol
_atom_site_fract_x
_atom_site_fract_y
_atom_site_fract_z
_atom_site_occupancy
Y1 Y 0.1141 0.1141 0.1141 1
Y2 Y 0.8859 0.8859 0.8859 1
Te1 Te 0.3947 0.3947 0.3947 1
Te2 Te 0.6053 0.6053 0.6053 1
```

total magnetic moment: 1.967 μB/cell
E_form (uncorrected): -1.520 eV per formula unit
final energy: -5.56 eV per atom

---

A plane-wave DFT calculation with PBE-GGA was carried out for BHSeBr2 after structural relaxation.

Structure (CIF):
```
data_BHSeBr2
_space_group_name_H-M_alt 'P 1'
_space_group_IT_number 1
_cell_length_a 4.8947
_cell_length_b 4.8947
_cell_length_c 4.2642
_cell_angle_alpha 90.00
_cell_angle_beta 90.00
_cell_angle_gamma 90.00
loop_
_space_group_symop_operation_xyz
'x,y,z'
loop_
_atom_site_label
_atom_site_type_symbol
_atom_site_fract_x
_atom_site_fract_y
_atom_site_fract_z
_atom_site_occupancy
B1 B 0.0000 0.0000 0.0000 1
H1 H 0.5000 0.5000 0.5000 1
Se1 Se 0.0000 0.0000 0.5000 1
Br1 Br 0.0000 0.5000 0.0000 1
Br2 Br 0.5000 0.0000 0.0000 1
```

total magnetic moment: 0.914 μB/cell
final energy: -2.39 eV per atom